A plane-wave DFT calculation with PBE was carried out for a relaxed structure of HoSi2Rh6.

a b c (Å): 7.698 7.698 7.698
angles (deg): 60.00 60.00 60.00
Atoms (fractional coordinates):
Ho1 0.500 0.500 0.500
Ho2 0.750 0.750 0.750
Si1 0.125 0.125 0.125
Si2 0.125 0.625 0.125
Si3 0.125 0.125 0.625
Si4 0.625 0.125 0.125
Rh1 0.249 0.249 0.751
Rh2 0.751 0.751 0.249
Rh3 0.249 0.751 0.249
Rh4 0.249 0.751 0.751
Rh5 0.499 0.499 0.001
Rh6 0.499 0.001 0.001
Rh7 0.751 0.249 0.751
Rh8 0.001 0.001 0.499
Rh9 0.499 0.001 0.499
Rh10 0.001 0.499 0.499
Rh11 0.751 0.249 0.249
Rh12 0.001 0.499 0.001

formation energy from raw total energies	-0.176	eV/atom
energy	-6.791	eV per atom